Computed, not measured: crystalline Nd2Y4Sb3N2 at its relaxed geometry at the PBE level of DFT.

Computed properties:
Energy relative to the elements, uncorrected, meV/atom: -1214

Lattice parameters (Å, degrees): 4.6752 4.6752 25.5464 90.00 90.00 90.00
Space group I4/mmm (No. 139)
Inequivalent atoms, fractional coordinates:
Nd: 0.0000 0.0000 0.1934
Y: 0.0000 0.5000 0.0825
Sb: 0.0000 0.0000 0.3236
Sb: 0.0000 0.0000 0.5000
N: 0.0000 0.0000 0.0979

***

Computed, not measured: crystalline Li3AcCd2 at its relaxed geometry at the PBE level of DFT.

Computed properties:
Energy above the most stable polymorph in this dataset, meV per atom: 0.0
E_form, eV/atom: -0.187

Lattice parameters (Å, degrees): 10.5503 10.5503 4.6280 90.00 90.00 120.00
Space group P6/mmm (No. 191)
Inequivalent atoms, fractional coordinates:
Li: 0.0000 0.2942 0.0000
Li: 0.0000 0.5000 0.5000
Ac: 0.0000 0.0000 0.5000
Ac: 0.3333 0.6667 0.0000
Cd: 0.1893 0.3786 0.5000

***

Computed, not measured: crystalline HoMgTl3 at its relaxed geometry at the PBE level of DFT.

Computed properties:
E_form, eV/atom: -0.060

Lattice parameters (Å, degrees): 4.6670 7.3378 7.9367 90.00 90.00 90.00
Space group Pmmn (No. 59, origin choice 2)
Inequivalent atoms, fractional coordinates:
Ho: 0.2500 0.2500 0.2123
Mg: 0.2500 0.7500 0.4439
Tl: 0.2500 0.0362 0.7079
Tl: 0.2500 0.7500 0.0673

***

Computed, not measured: crystalline Rb2BeF4 at its relaxed geometry at the PBE level of DFT.

Computed properties:
Energy relative to the elements, uncorrected, meV/atom: -3073
Energy above the most stable polymorph in this dataset, meV per atom: 0.0

Lattice parameters (Å, degrees): 7.7905 10.4219 5.9777 90.00 90.00 90.00
Space group Pna2_1 (No. 33)
Inequivalent atoms, fractional coordinates:
Rb: 0.0106 0.1927 0.0001
Rb: 0.1628 0.4088 0.5000
Be: 0.2368 0.0810 0.5007
F: 0.0358 0.0844 0.5017
F: 0.1927 0.4391 0.9989
F: 0.1938 0.6499 0.2163
F: 0.1948 0.6517 0.7864

***

Computed, not measured: crystalline Cs2KCdF at its relaxed geometry at the PBE level of DFT.

Computed properties:
Energy relative to the elements, uncorrected, meV/atom: -1017
Energy above the most stable polymorph in this dataset, meV per atom: 0.0

Lattice parameters (Å, degrees): 6.1473 6.1473 5.6565 90.00 90.00 90.00
Space group P4/mmm (No. 123)
Inequivalent atoms, fractional coordinates:
Cs: 0.0000 0.5000 0.0000
K: 0.0000 0.0000 0.5000
Cd: 0.5000 0.5000 0.5000
F: 0.0000 0.0000 0.0000

***

Computed, not measured: crystalline CdTcAs2 at its relaxed geometry at the PBE level of DFT.

Computed properties:
E_form, eV/atom: 0.303

Lattice parameters (Å, degrees): 3.1686 4.9952 10.0237 90.00 90.00 90.00
Space group Cmm2 (No. 35)
Inequivalent atoms, fractional coordinates:
Cd: 0.0000 0.0000 0.0000
Tc: 0.0000 0.5000 0.7593
As: 0.0000 0.0000 0.5770
As: 0.0000 0.5000 0.2424

***

Computed, not measured: crystalline Ca2NdHfSb4 at its relaxed geometry at the PBE level of DFT.

Computed properties:
Energy relative to the elements, uncorrected, meV/atom: -834

Lattice parameters (Å, degrees): 7.5823 4.3480 7.8213 90.00 108.58 90.00
Space group P2/m (No. 10)
Inequivalent atoms, fractional coordinates:
Ca: 0.0000 0.0000 0.0000
Ca: 0.5000 0.5000 0.0000
Nd: 0.0000 0.5000 0.5000
Hf: 0.5000 0.0000 0.5000
Sb: 0.2650 0.0000 0.7386
Sb: 0.2746 0.5000 0.2721

***

Computed, not measured: crystalline Cd2Hg3Pb at its relaxed geometry at the PBE level of DFT.

Computed properties:
E_form, eV/atom: 0.036

Lattice parameters (Å, degrees): 5.8520 10.0722 5.3526 90.00 90.00 90.00
Space group Cmmm (No. 65)
Inequivalent atoms, fractional coordinates:
Cd: 0.0000 0.1637 0.0000
Hg: 0.0000 0.0000 0.5000
Hg: 0.0000 0.3238 0.5000
Pb: 0.0000 0.5000 0.0000

***

Computed, not measured: crystalline BeGa3Cu at its relaxed geometry at the PBE level of DFT.

Computed properties:
Energy above the most stable polymorph in this dataset, meV per atom: 0.0
E_form, eV/atom: 0.416

Lattice parameters (Å, degrees): 4.4520 4.4520 4.4520 90.00 90.00 90.00
Space group Pm-3m (No. 221)
Inequivalent atoms, fractional coordinates:
Be: 0.0000 0.0000 0.0000
Ga: 0.0000 0.0000 0.5000
Cu: 0.5000 0.5000 0.5000

***

Computed, not measured: crystalline Sc2HgBr at its relaxed geometry at the PBE level of DFT.

Computed properties:
Energy relative to the elements, uncorrected, meV/atom: -150
Energy above the most stable polymorph in this dataset, meV per atom: 438.8

Lattice parameters (Å, degrees): 5.8254 5.8254 14.1935 90.00 90.00 90.00
Space group I-42d (No. 122)
Inequivalent atoms, fractional coordinates:
Sc: 0.2479 0.2500 0.1250
Hg: 0.0000 0.0000 0.5000
Br: 0.0000 0.0000 0.0000

***

Computed, not measured: crystalline TbErLuMg at its relaxed geometry at the PBE level of DFT.

Computed properties:
E_form, eV/atom: 0.031

Lattice parameters (Å, degrees): 7.7040 7.7040 7.7040 90.00 90.00 90.00
Space group F-43m (No. 216)
Inequivalent atoms, fractional coordinates:
Tb: 0.0000 0.0000 0.0000
Er: 0.0000 0.0000 0.5000
Lu: 0.2500 0.2500 0.7500
Mg: 0.2500 0.2500 0.2500

***

Computed, not measured: crystalline BaCaLaB2 at its relaxed geometry at the PBE level of DFT.

Computed properties:
E_form, eV/atom: 1.843

Lattice parameters (Å, degrees): 5.2486 5.2486 5.6388 90.00 90.00 90.00
Space group P4/mmm (No. 123)
Inequivalent atoms, fractional coordinates:
Ba: 0.0000 0.0000 0.0000
Ca: 0.5000 0.5000 0.5000
La: 0.0000 0.0000 0.5000
B: 0.0000 0.5000 0.0000

***

Computed, not measured: crystalline NdHo2Sc3Bi6 at its relaxed geometry at the PBE level of DFT.

Computed properties:
E_form, eV/atom: -0.759

Lattice parameters (Å, degrees): 7.6093 13.1891 7.5953 90.00 109.54 90.00
Space group C2/m (No. 12)
Inequivalent atoms, fractional coordinates:
Nd: 0.0000 0.0000 0.0000
Ho: 0.0000 0.3324 0.0000
Sc: 0.0000 0.1634 0.5000
Sc: 0.0000 0.5000 0.5000
Bi: 0.2408 0.3304 0.7321
Bi: 0.2485 0.5000 0.2649

***

Computed, not measured: crystalline NbBi2Au at its relaxed geometry at the PBE level of DFT.

Computed properties:
E_form, eV/atom: 0.456

Lattice parameters (Å, degrees): 7.2372 7.2372 7.2372 90.00 90.00 90.00
Space group Fm-3m (No. 225)
Inequivalent atoms, fractional coordinates:
Nb: 0.0000 0.0000 0.0000
Bi: 0.2500 0.2500 0.2500
Au: 0.0000 0.0000 0.5000

***

Computed, not measured: crystalline PmPr3Er6 at its relaxed geometry at the PBE level of DFT.

Computed properties:
E_form, eV/atom: 0.305

Lattice parameters (Å, degrees): 9.9222 9.9222 11.6673 90.00 90.00 120.00
Space group R-3 (No. 148, hexagonal axes)
Inequivalent atoms, fractional coordinates:
Pm: 0.0000 0.0000 0.0000
Pr: 0.0000 0.0000 0.2492
Pr: 0.0000 0.0000 0.5000
Er: 0.0013 0.6737 0.7498

***

Computed, not measured: crystalline OsRhF2 at its relaxed geometry at the PBE level of DFT.

Computed properties:
Energy relative to the elements, uncorrected, meV/atom: -114
Energy above the most stable polymorph in this dataset, meV per atom: 303.9

Lattice parameters (Å, degrees): 2.6574 2.6574 24.4968 90.00 90.00 120.00
Space group R-3m (No. 166, hexagonal axes)
Inequivalent atoms, fractional coordinates:
Os: 0.0000 0.0000 0.0000
Rh: 0.0000 0.0000 0.5000
F: 0.0000 0.0000 0.4171

***

Computed, not measured: crystalline La2Tb6YEr3 at its relaxed geometry at the PBE level of DFT.

Computed properties:
E_form, eV/atom: 0.023

Lattice parameters (Å, degrees): 6.2035 10.7440 11.8695 90.00 100.02 90.00
Space group C2/m (No. 12)
Inequivalent atoms, fractional coordinates:
La: 0.0000 0.1666 0.0000
Tb: 0.2469 0.5000 0.7441
Tb: 0.2481 0.1663 0.7444
Y: 0.0000 0.5000 0.0000
Er: 0.0000 0.0000 0.5000
Er: 0.0000 0.3338 0.5000

***

Computed, not measured: crystalline TbDy4Ni4 at its relaxed geometry at the PBE level of DFT.

Computed properties:
E_form, eV/atom: -0.264

Lattice parameters (Å, degrees): 8.5080 8.5080 5.6272 90.00 90.00 90.00
Space group P4_2/n (No. 86, origin choice 2)
Inequivalent atoms, fractional coordinates:
Tb: 0.2500 0.2500 0.2500
Dy: 0.0655 0.6639 0.1503
Ni: 0.0254 0.6170 0.6356

***

Computed, not measured: crystalline Li2Mn at its relaxed geometry at the PBE level of DFT.

Computed properties:
E_form, eV/atom: 0.348

Lattice parameters (Å, degrees): 2.7061 4.1784 8.5600 90.00 90.00 90.00
Space group Immm (No. 71)
Inequivalent atoms, fractional coordinates:
Li: 0.0000 0.0000 0.1644
Mn: 0.0000 0.0000 0.5000

***

Computed, not measured: crystalline NbFeBr2N at its relaxed geometry at the PBE level of DFT.

Computed properties:
Energy relative to the elements, uncorrected, meV/atom: 1681
Energy above the most stable polymorph in this dataset, meV per atom: 723.9

Lattice parameters (Å, degrees): 4.5670 4.5670 4.7942 90.00 90.00 90.00
Space group P4/mmm (No. 123)
Inequivalent atoms, fractional coordinates:
Nb: 0.0000 0.0000 0.0000
Fe: 0.0000 0.0000 0.5000
Br: 0.0000 0.5000 0.5000
N: 0.5000 0.5000 0.0000